Record 1
The following is a DFT calculation (GGA-PBE) of a geometry-optimized Sn5PtSe4 structure.

Unit cell a=15.2760 b=15.2760 c=15.2760 alpha=164.39 beta=164.39 gamma=22.15
With the nearest neighbours (Å) after each atom.
Atoms (fractional coordinates):
Sn (0.0000, 0.0000, 0.0000)  4 Pt 2.93, 2 Se 3.06
Sn (0.2007, 0.2007, 0.0000)  6 Se 2.93-3.00
Sn (0.4099, 0.4099, 0.0000)  1 Pt 2.70, 4 Se 2.96
Sn (0.5901, 0.5901, 0.0000)  1 Pt 2.70, 4 Se 2.96
Sn (0.7993, 0.7993, 0.0000)  6 Se 2.93-3.00
Pt (0.5000, 0.5000, 0.0000)  6 Sn 2.70-2.93
Se (0.1022, 0.1022, 0.0000)  6 Sn 2.95-3.06
Se (0.3006, 0.3006, 0.0000)  6 Sn 2.93-3.27
Se (0.6994, 0.6994, 0.0000)  6 Sn 2.93-3.27
Se (0.8978, 0.8978, 0.0000)  6 Sn 2.95-3.06

Results
Calculated volume: 258.20 Å³ per cell
Energy relative to the elements, uncorrected: -0.4001 eV/atom
E: -0.1617 hartree per atom
Space group: I4/mmm

---

Record 2
The following is a DFT calculation (GGA-PBE) of a geometry-optimized Tb2Pr4Nd2Tm structure.

Unit cell a=8.1627 b=8.1627 c=8.1457 alpha=107.68 beta=107.68 gamma=36.89
With the nearest neighbours (Å) after each atom.
Atoms (fractional coordinates):
Tb (0.1107, 0.1107, 0.1692)  1 Tm 3.63, 7 Pr 3.63-3.68, 3 Nd 3.63-3.64, 1 Tb 3.65
Tb (0.8893, 0.8893, 0.8308)  1 Tm 3.63, 7 Pr 3.63-3.68, 3 Nd 3.63-3.64, 1 Tb 3.65
Pr (0.2222, 0.2222, 0.8326)  1 Tm 3.64, 3 Nd 3.64-3.65, 5 Pr 3.65-3.67, 3 Tb 3.66-3.68
Pr (0.4458, 0.4458, 0.1673)  2 Nd 3.61-3.65, 4 Tb 3.63-3.66, 4 Pr 3.63-3.67, 2 Tm 3.64
Pr (0.5542, 0.5542, 0.8327)  2 Nd 3.61-3.65, 4 Tb 3.63-3.66, 4 Pr 3.63-3.67, 2 Tm 3.64
Pr (0.7778, 0.7778, 0.1674)  1 Tm 3.64, 3 Nd 3.64-3.65, 5 Pr 3.65-3.67, 3 Tb 3.66-3.68
Nd (0.3342, 0.3342, 0.5004)  5 Pr 3.61-3.65, 3 Tb 3.63-3.64, 2 Tm 3.64, 2 Nd 3.67
Nd (0.6658, 0.6658, 0.4996)  5 Pr 3.61-3.65, 3 Tb 3.63-3.64, 2 Tm 3.64, 2 Nd 3.67
Tm (0.0000, 0.0000, 0.5000)  2 Tb 3.63, 6 Pr 3.64, 4 Nd 3.64

Results
Calculated volume: 308.62 Å³ per cell
E: -0.1725 hartree per atom
Space group: C2/m

---

Record 3
The following is a DFT calculation (GGA-PBE) of a geometry-optimized Tb4PmPbS8 structure.

Unit cell a=8.2509 b=8.2509 c=8.2509 alpha=59.41 beta=59.41 gamma=59.41
With the nearest neighbours (Å) after each atom.
Atoms (fractional coordinates):
Tb (0.0000, 0.0000, 0.0000)  4 S 2.66-2.68
Tb (0.3761, 0.3761, 0.8690)  6 S 2.72-2.84
Tb (0.3761, 0.8690, 0.3761)  6 S 2.72-2.84
Tb (0.8690, 0.3761, 0.3761)  6 S 2.72-2.84
Pm (0.3765, 0.3765, 0.3765)  6 S 2.79-2.88
Pb (0.7483, 0.7483, 0.7483)  4 S 2.77-2.81
S (0.1290, 0.1290, 0.6030)  3 Tb 2.66-2.83, 1 Pm 2.88
S (0.1290, 0.6030, 0.1290)  3 Tb 2.66-2.83, 1 Pm 2.88
S (0.1322, 0.1322, 0.1322)  4 Tb 2.68-2.84
S (0.1621, 0.6154, 0.6154)  2 Tb 2.72, 1 Pb 2.77, 1 Pm 2.79
S (0.6030, 0.1290, 0.1290)  3 Tb 2.66-2.83, 1 Pm 2.88
S (0.6101, 0.6101, 0.6101)  3 Tb 2.72, 1 Pb 2.81
S (0.6154, 0.1621, 0.6154)  2 Tb 2.72, 1 Pb 2.77, 1 Pm 2.79
S (0.6154, 0.6154, 0.1621)  2 Tb 2.72, 1 Pb 2.77, 1 Pm 2.79

Results
Calculated volume: 391.85 Å³ per cell
Energy relative to the elements, uncorrected: -1.7660 eV/atom
E: -0.2224 hartree per atom
Space group: R3m

---

Record 4
The following is a DFT calculation (GGA-PBE) of a geometry-optimized CaCd6Ni6 structure.

Unit cell a=6.9478 b=6.9478 c=6.9478 alpha=135.86 beta=98.47 gamma=97.76
With the nearest neighbours (Å) after each atom.
Atoms (fractional coordinates):
Ca (0.0000, 0.0000, 0.0000)  8 Cd 3.02-3.14
Cd (0.1838, 0.6838, 0.5000)  6 Ni 2.69-2.73, 2 Cd 2.99
Cd (0.3329, 0.0000, 0.3329)  6 Ni 2.74-2.75, 1 Ca 3.02, 1 Cd 3.03
Cd (0.3441, 0.3441, 0.0000)  6 Ni 2.75-2.78, 3 Cd 2.85-2.99
Cd (0.6559, 0.6559, 0.0000)  6 Ni 2.75-2.78, 3 Cd 2.85-2.99
Cd (0.6671, 0.0000, 0.6671)  6 Ni 2.74-2.75, 1 Ca 3.02, 1 Cd 3.03
Cd (0.8162, 0.3162, 0.5000)  6 Ni 2.69-2.73, 2 Cd 2.99
Ni (0.0000, 0.0000, 0.5000)  4 Ni 2.61-2.63, 6 Cd 2.69-2.75
Ni (0.0000, 0.5000, 0.0000)  4 Ni 2.61-2.63, 6 Cd 2.69-2.75
Ni (0.2374, 0.5000, 0.7374)  4 Ni 2.63, 6 Cd 2.73-2.78
Ni (0.5000, 0.0000, 0.0000)  4 Ni 2.61-2.63, 6 Cd 2.69-2.75
Ni (0.5000, 0.5000, 0.5000)  4 Ni 2.61-2.63, 6 Cd 2.69-2.75
Ni (0.7626, 0.5000, 0.2626)  4 Ni 2.63, 6 Cd 2.73-2.78

Results
Calculated volume: 216.44 Å³ per cell
E: -0.1216 hartree per atom
Space group: Immm

---

Record 5
The following is a DFT calculation (GGA-PBE) of a geometry-optimized KRu2Rh structure.

Unit cell a=2.7303 b=4.4900 c=6.7607 alpha=90.00 beta=98.90 gamma=90.00
With the nearest neighbours (Å) after each atom.
Atoms (fractional coordinates):
K (0.0000, 0.0000, 0.0000)  2 K 2.73
Ru (0.2820, 0.5000, 0.6604)  4 Ru 2.46-2.73, 2 Rh 2.60
Ru (0.7180, 0.5000, 0.3396)  4 Ru 2.46-2.73, 2 Rh 2.60
Rh (0.5000, 0.0000, 0.5000)  4 Ru 2.60, 2 Rh 2.73

Results
Calculated volume: 81.88 Å³ per cell
Relative energy among the computed polymorphs: 0.359 eV/atom
E: -0.2131 hartree per atom
Space group: P2/m

---

Record 6
The following is a DFT calculation (GGA-PBE) of a geometry-optimized Tm4AlZn2Hg structure.

Unit cell a=8.7614 b=8.7614 c=8.7614 alpha=33.48 beta=33.48 gamma=33.48
With the nearest neighbours (Å) after each atom.
Atoms (fractional coordinates):
Tm (0.1237, 0.1237, 0.1237)  1 Al 3.07, 4 Zn 3.10-3.18, 3 Hg 3.10
Tm (0.3738, 0.3738, 0.3738)  4 Zn 3.02-3.08, 3 Al 3.08, 1 Hg 3.13
Tm (0.6262, 0.6262, 0.6262)  4 Zn 3.02-3.08, 3 Al 3.08, 1 Hg 3.13
Tm (0.8763, 0.8763, 0.8763)  1 Al 3.07, 4 Zn 3.10-3.18, 3 Hg 3.10
Al (0.0000, 0.0000, 0.0000)  8 Tm 3.07-3.08
Zn (0.2521, 0.2521, 0.2521)  8 Tm 3.02-3.18
Zn (0.7479, 0.7479, 0.7479)  8 Tm 3.02-3.18
Hg (0.5000, 0.5000, 0.5000)  8 Tm 3.10-3.13

Results
Calculated volume: 182.29 Å³ per cell
E: -0.1268 hartree per atom
Space group: R-3m

---

Record 7
The following is a DFT calculation (GGA-PBE) of a geometry-optimized LiTi3P3O13 structure.

Unit cell a=7.6565 b=6.3789 c=10.5906 alpha=90.00 beta=99.54 gamma=90.00
With the nearest neighbours (Å) after each atom.
Atoms (fractional coordinates):
Li (0.1031, 0.2500, 0.1328)  1 O 1.95
Li (0.8969, 0.7500, 0.8672)  1 O 1.95
Ti (0.1397, 0.2500, 0.8073)  4 O 1.83-1.99
Ti (0.2830, 0.7500, 0.4480)  5 O 1.84-2.02
Ti (0.5000, 0.0000, 0.0000)  6 O 2.04-2.16
Ti (0.5000, 0.5000, 0.0000)  6 O 2.04-2.16
Ti (0.7170, 0.2500, 0.5520)  5 O 1.84-2.02
Ti (0.8603, 0.7500, 0.1927)  4 O 1.83-1.99
P (0.1986, 0.7500, 0.1256)  4 O 1.54-1.56
P (0.2250, 0.7500, 0.7690)  4 O 1.53-1.58
P (0.2789, 0.2500, 0.5191)  4 O 1.53-1.58
P (0.7211, 0.7500, 0.4809)  4 O 1.53-1.58
P (0.7750, 0.2500, 0.2310)  4 O 1.53-1.58
P (0.8014, 0.2500, 0.8744)  4 O 1.54-1.56
O (0.0072, 0.7500, 0.0472)  1 P 1.56
O (0.1114, 0.5602, 0.7958)  1 P 1.54
O (0.1114, 0.9398, 0.7958)  1 P 1.54
O (0.1558, 0.7500, 0.2650)  1 P 1.56
O (0.1783, 0.2500, 0.6322)  1 P 1.53
O (0.2340, 0.0536, 0.4367)  1 P 1.53
O (0.2340, 0.4464, 0.4367)  1 P 1.53
O (0.2717, 0.7500, 0.6335)  1 P 1.53
O (0.2979, 0.5476, 0.1004)  1 P 1.54
O (0.2979, 0.9524, 0.1004)  1 P 1.54
O (0.3592, 0.2500, 0.9069)  1 Ti 1.83
O (0.4005, 0.7500, 0.8710)  1 P 1.58
O (0.4837, 0.2500, 0.5734)  1 P 1.58
O (0.5163, 0.7500, 0.4266)  1 P 1.58
O (0.5995, 0.2500, 0.1290)  1 P 1.58
O (0.6408, 0.7500, 0.0931)  1 Ti 1.83
O (0.7021, 0.0476, 0.8996)  1 P 1.54
O (0.7021, 0.4524, 0.8996)  1 P 1.54
O (0.7283, 0.2500, 0.3665)  1 P 1.53
O (0.7660, 0.5536, 0.5633)  1 P 1.53
O (0.7660, 0.9464, 0.5633)  1 P 1.53
O (0.8217, 0.7500, 0.3678)  1 P 1.53
O (0.8442, 0.2500, 0.7350)  1 P 1.56
O (0.8886, 0.0602, 0.2042)  1 P 1.54
O (0.8886, 0.4398, 0.2042)  1 P 1.54
O (0.9928, 0.2500, 0.9528)  1 P 1.56

Results
Calculated volume: 510.09 Å³ per cell
Energy relative to the elements, uncorrected: -2.5331 eV/atom
E: -0.2884 hartree per atom
Space group: P2_1/m

---

Record 8
The following is a DFT calculation (GGA-PBE) of a geometry-optimized Ta2MnPt structure.

Unit cell a=3.2599 b=3.2599 c=6.1391 alpha=90.00 beta=90.00 gamma=90.00
With the nearest neighbours (Å) after each atom.
Atoms (fractional coordinates):
Ta (0.0000, 0.0000, 0.0000)  4 Pt 2.75, 4 Ta 2.88, 1 Mn 3.05
Ta (0.5000, 0.5000, 0.2820)  4 Mn 2.68, 4 Ta 2.88, 1 Pt 2.92
Mn (0.0000, 0.0000, 0.5036)  4 Ta 2.68, 4 Pt 2.78
Pt (0.5000, 0.5000, 0.7571)  5 Ta 2.75-2.92, 4 Mn 2.78

Results
Calculated volume: 65.24 Å³ per cell
E: -0.3688 hartree per atom
Space group: P4mm

---

Record 9
The following is a DFT calculation (GGA-PBE) of a geometry-optimized Pm2PuTh structure.

Unit cell a=11.9076 b=11.9076 c=11.9076 alpha=17.23 beta=17.23 gamma=17.23
With the nearest neighbours (Å) after each atom.
Atoms (fractional coordinates):
Pm (0.0000, 0.0000, 0.0000)  3 Pu 3.54, 6 Pm 3.57, 3 Th 3.62
Pm (0.1692, 0.1692, 0.1692)  3 Pu 3.55, 6 Pm 3.57, 3 Th 3.62
Pu (0.5848, 0.5848, 0.5848)  6 Pm 3.54-3.55, 6 Pu 3.57
Th (0.4181, 0.4181, 0.4181)  6 Th 3.57, 6 Pm 3.62

Results
Calculated volume: 129.19 Å³ per cell
Relative energy among the computed polymorphs: 0.004 eV/atom
E: -0.2816 hartree per atom
Space group: R3m

---

| no. | calculated density (g/cm3) |
| --- | --- |
| 1 | 7.103 |
| 2 | 7.204 |
| 3 | 5.273 |
| 4 | 8.184 |
| 5 | 6.979 |
| 6 | 9.420 |
| 7 | 2.939 |
| 8 | 15.575 |
| 9 | 9.846 |